Record 1
Below is a relaxed structure of AcCoAs2Pd, with properties calculated at the PBE-GGA level.

Cell and atoms, written as POSCAR:
```
AcCoAs2Pd
1.0
4.206 0.000 0.000
0.000 4.206 0.000
-2.103 -2.103 5.677
As Pd Ac Co
2 1 1 1
direct
0.367 0.367 0.734 As
0.633 0.633 0.266 As
0.250 0.750 0.500 Pd
0.000 0.000 0.000 Ac
0.750 0.250 0.500 Co
```

Computed properties:
ΔH_f (0 K), eV/atom: -0.713
E, eV/atom: -5.8541
Crystal system: tetragonal
Volume, A^3/atom: 20.08

***

Record 2
Below is a relaxed structure of Ac2CoAs4Pt3, with properties calculated at the PBE-GGA level.

Cell and atoms, written as POSCAR:
```
Ac2CoAs4Pt3
1.0
-2.481 2.483 2.779
1.930 -2.000 3.510
7.233 7.131 0.085
Ac As Pt Co
2 4 3 1
direct
0.000 0.500 0.747 Ac
0.500 0.000 0.253 Ac
0.000 0.500 0.374 As
0.000 0.000 0.000 As
0.500 0.500 0.000 As
0.500 0.000 0.626 As
0.000 0.000 0.500 Pt
0.000 0.500 0.121 Pt
0.500 0.000 0.879 Pt
0.500 0.500 0.500 Co
```

Computed properties:
ΔH_f (0 K), eV/atom: -0.859
E, eV/atom: -6.0634
Crystal system: tetragonal
Volume, A^3/atom: 20.36

***

Record 3
Below is a relaxed structure of Ac2CoAs3Rh4, with properties calculated at the PBE-GGA level.

Cell and atoms, written as POSCAR:
```
Ac2CoAs3Rh4
1.0
4.337 0.000 0.000
0.000 4.337 0.000
0.000 0.000 10.243
Co Rh Ac As
1 4 2 3
direct
0.500 0.500 0.500 Co
0.000 0.000 0.000 Rh
0.000 0.500 0.380 Rh
0.500 0.500 0.000 Rh
0.500 0.000 0.620 Rh
0.500 0.000 0.257 Ac
0.000 0.500 0.743 Ac
0.000 0.500 0.134 As
0.500 0.000 0.866 As
0.000 0.000 0.500 As
```

Computed properties:
ΔH_f (0 K), eV/atom: -0.776
E, eV/atom: -6.6434
Crystal system: tetragonal
Volume, A^3/atom: 19.26

***

Record 4
Below is a relaxed structure of AcCrAs3, with properties calculated at the PBE-GGA level.

Cell and atoms, written as POSCAR:
```
AcCrAs3
1.0
4.849 0.000 0.000
0.000 4.849 0.000
0.000 0.000 4.849
As Cr Ac
3 1 1
direct
0.000 0.000 0.500 As
0.500 0.000 0.000 As
0.000 0.500 0.000 As
0.000 0.000 0.000 Cr
0.500 0.500 0.500 Ac
```

Computed properties:
ΔH_f (0 K), eV/atom: -0.413
E, eV/atom: -5.9492
Energy above the most stable polymorph in this dataset, eV/f.u.: 1.12
Crystal system: cubic
Volume, A^3/atom: 22.81

***

Record 5
Below is a relaxed structure of AcCrAs3, with properties calculated at the PBE-GGA level.

Cell and atoms, written as POSCAR:
```
AcCrAs3
1.0
5.767 0.000 0.000
0.000 5.826 0.000
0.000 0.000 13.103
Ac Cr As
4 4 12
direct
0.250 0.504 0.308 Ac
0.250 0.004 0.692 Ac
0.750 0.496 0.692 Ac
0.750 0.996 0.308 Ac
0.000 0.750 0.921 Cr
0.500 0.250 0.079 Cr
0.000 0.250 0.079 Cr
0.500 0.750 0.921 Cr
0.750 0.899 0.063 As
0.750 0.988 0.804 As
0.250 0.601 0.063 As
0.750 0.488 0.196 As
0.000 0.750 0.502 As
0.250 0.012 0.196 As
0.500 0.750 0.502 As
0.000 0.250 0.498 As
0.250 0.512 0.804 As
0.750 0.399 0.937 As
0.500 0.250 0.498 As
0.250 0.101 0.937 As
```

Computed properties:
ΔH_f (0 K), eV/atom: -0.637
E, eV/atom: -6.1729
Energy above the most stable polymorph in this dataset, eV/f.u.: 0.00
Crystal system: orthorhombic
Volume, A^3/atom: 22.01

***

Record 6
Below is a relaxed structure of Ac2CrAs, with properties calculated at the PBE-GGA level.

Cell and atoms, written as POSCAR:
```
Ac2CrAs
1.0
-0.648 1.688 -3.583
-1.661 -4.767 -1.945
-5.074 1.169 1.468
As Cr Ac
1 1 2
direct
0.500 0.500 0.500 As
0.500 0.000 0.000 Cr
0.000 0.000 0.500 Ac
0.000 0.500 0.000 Ac
```

Computed properties:
ΔH_f (0 K), eV/atom: -0.231
E, eV/atom: -5.8532
Crystal system: tetragonal
Volume, A^3/atom: 29.37

***

Record 7
Below is a relaxed structure of Ac2CrAs4Ir3, with properties calculated at the PBE-GGA level.

Cell and atoms, written as POSCAR:
```
Ac2CrAs4Ir3
1.0
-1.628 -4.085 0.259
0.412 -0.441 -4.364
9.492 -3.703 1.271
As Ac Ir Cr
4 2 3 1
direct
0.000 0.000 0.000 As
0.500 0.500 0.000 As
0.500 0.000 0.634 As
0.000 0.500 0.366 As
0.000 0.500 0.757 Ac
0.500 0.000 0.243 Ac
0.500 0.000 0.884 Ir
0.000 0.000 0.500 Ir
0.000 0.500 0.116 Ir
0.500 0.500 0.500 Cr
```

Computed properties:
ΔH_f (0 K), eV/atom: -0.716
E, eV/atom: -7.0184
Crystal system: tetragonal
Volume, A^3/atom: 19.93